VASP calculation (GGA-PBEsol) on an optimized crystal structure of ZrAsRu2.

The value obtained for the total energy is -9.07 eV/atom. As for the theoretical density: 10.08 g cm⁻³. The value obtained for the calculated formation energy is -168 kJ/mol of formula units. For the density of states at the Fermi level, the calculation gives 0.416 states/eV per atom. Its crystal system is tetragonal.

a b c (Å): 4.2164 4.2164 3.4115
angles (deg): 90.00 90.00 90.00
With the nearest neighbours (Å) after each atom.
Fractional coordinates of all 4 atoms:
1 Zr 0.0000 0.0000 0.0000  8 Ru 2.71, 4 As 2.98
2 As 0.5000 0.5000 0.0000  8 Ru 2.71, 4 Zr 2.98
3 Ru 0.0000 0.5000 0.5000  4 Zr 2.71, 4 As 2.71, 4 Ru 2.98
4 Ru 0.5000 0.0000 0.5000  4 Zr 2.71, 4 As 2.71, 4 Ru 2.98



VASP calculation (GGA-PBEsol) on an optimized crystal structure of MgSi2Tc.

The value obtained for the total energy is -6.08 eV/atom. As for the theoretical density: 5.32 g cm⁻³. For the density of states at the Fermi level, the calculation gives 0.418 states/eV per atom. The calculation puts the formation energy without anion corrections at 4 kJ per mole of atoms. Its crystal system is orthorhombic.

a b c (Å): 3.3000 3.9756 4.2452
angles (deg): 90.00 90.00 90.00
With the nearest neighbours (Å) after each atom.
Fractional coordinates of all 4 atoms:
1 Mg 0.0000 0.0000 0.0000  4 Si 2.58, 4 Tc 2.69
2 Si 0.0000 0.5000 0.5000  4 Tc 2.58, 4 Si 2.69
3 Si 0.5000 0.5000 0.0000  4 Mg 2.58, 4 Si 2.69
4 Tc 0.5000 0.0000 0.5000  4 Si 2.58, 4 Mg 2.69



VASP calculation (GGA-PBEsol) on an optimized crystal structure of CaW3Se.

The value obtained for the total energy is -8.12 eV/atom. As for the theoretical density: 11.03 g cm⁻³. For the density of states at the Fermi level, the calculation gives 0.882 states/eV per atom. The calculation puts the formation energy without anion corrections at 132 kJ per mole of atoms. Its crystal system is cubic.

a b c (Å): 4.6562 4.6562 4.6562
angles (deg): 90.00 90.00 90.00
With the nearest neighbours (Å) after each atom.
Fractional coordinates of all 5 atoms:
1 Ca 0.0000 0.0000 0.0000  12 W 3.29
2 W 0.0000 0.5000 0.5000  2 Se 2.33
3 W 0.5000 0.0000 0.5000  2 Se 2.33
4 W 0.5000 0.5000 0.0000  2 Se 2.33
5 Se 0.5000 0.5000 0.5000  6 W 2.33



VASP calculation (GGA-PBEsol) on an optimized crystal structure of Y2Rh.

The value obtained for the total energy is -7.81 eV/atom. As for the theoretical density: 6.09 g cm⁻³. The value obtained for the calculated formation energy is -158 kJ/mol of formula units. For the density of states at the Fermi level, the calculation gives 0.702 states/eV per atom. Its crystal system is cubic.

a b c (Å): 6.7406 6.7406 6.7406
angles (deg): 90.00 90.00 90.00
With the nearest neighbours (Å) after each atom.
Fractional coordinates of all 12 atoms:
1 Y 0.1643 0.1643 0.1643  3 Rh 2.75
2 Y 0.1643 0.3357 0.6643  3 Rh 2.75
3 Y 0.3357 0.6643 0.1643  3 Rh 2.75
4 Y 0.3357 0.8357 0.6643  3 Rh 2.75
5 Y 0.6643 0.1643 0.3357  3 Rh 2.75
6 Y 0.6643 0.3357 0.8357  3 Rh 2.75
7 Y 0.8357 0.6643 0.3357  3 Rh 2.75
8 Y 0.8357 0.8357 0.8357  3 Rh 2.75
9 Rh 0.0000 0.0000 0.5000  6 Y 2.75
10 Rh 0.0000 0.5000 0.0000  6 Y 2.75
11 Rh 0.5000 0.0000 0.0000  6 Y 2.75
12 Rh 0.5000 0.5000 0.5000  6 Y 2.75



VASP calculation (GGA-PBEsol) on an optimized crystal structure of Zr2CoSi.

The value obtained for the total energy is -8.44 eV/atom. As for the theoretical density: 6.41 g cm⁻³. For the density of states at the Fermi level, the calculation gives 1.011 states/eV per atom. The calculation puts the formation energy without anion corrections at -50 kJ per mole of atoms. Its crystal system is trigonal.

a b c (Å): 3.8641 3.8641 16.1825
angles (deg): 90.00 90.00 120.00
With the nearest neighbours (Å) after each atom.
Fractional coordinates of all 12 atoms:
1 Zr 0.0000 0.0000 0.0000  3 Si 2.69, 3 Co 2.95
2 Zr 0.0000 0.0000 0.1982  3 Co 2.57, 3 Si 2.81
3 Zr 0.3333 0.6667 0.6667  3 Si 2.69, 3 Co 2.95
4 Zr 0.3333 0.6667 0.8649  3 Co 2.57, 3 Si 2.81
5 Zr 0.6667 0.3333 0.3333  3 Si 2.69, 3 Co 2.95
6 Zr 0.6667 0.3333 0.5316  3 Co 2.57, 3 Si 2.81
7 Co 0.0000 0.0000 0.7857  3 Si 2.27
8 Co 0.3333 0.6667 0.4524  3 Si 2.27
9 Co 0.6667 0.3333 0.1190  3 Si 2.27
10 Si 0.0000 0.0000 0.4258  3 Co 2.27
11 Si 0.3333 0.6667 0.0925  3 Co 2.27
12 Si 0.6667 0.3333 0.7591  3 Co 2.27



VASP calculation (GGA-PBEsol) on an optimized crystal structure of LaTe2MoN.

The value obtained for the total energy is -7.09 eV/atom. As for the theoretical density: 7.30 g cm⁻³. For the density of states at the Fermi level, the calculation gives 0.614 states/eV per atom. The calculation puts the formation energy without anion corrections at -53 kJ per mole of atoms. Its crystal system is tetragonal.

a b c (Å): 5.4652 5.4652 3.8398
angles (deg): 90.00 90.00 90.00
With the nearest neighbours (Å) after each atom.
Fractional coordinates of all 5 atoms:
1 La 0.0000 0.0000 0.0000  8 Te 3.34
2 Te 0.0000 0.5000 0.5000  2 Mo 2.73
3 Te 0.5000 0.0000 0.5000  2 Mo 2.73
4 Mo 0.5000 0.5000 0.5000  2 N 1.92
5 N 0.5000 0.5000 0.0000  2 Mo 1.92